Record 1
In3NO: optimized geometry, PBE.

Output
Uncorrected formation energy: 580 meV/atom
ΔE to the lowest computed polymorph: 0.000 eV/atom
Energy: -3.720 eV/atom
Space group: Pm-3m

Cell: 4.6764 4.6764 4.6764 Å, 90.00 90.00 90.00°
With the nearest neighbours (Å) after each atom.
Fractional coordinates of all 5 atoms:
In (0.0000, 0.0000, 0.5000)  2 N 2.34
In (0.0000, 0.5000, 0.0000)  2 N 2.34
In (0.5000, 0.0000, 0.0000)  2 N 2.34
N (0.0000, 0.0000, 0.0000)  6 In 2.34
O (0.5000, 0.5000, 0.5000)  12 In 3.31


Record 2
InNO: optimized geometry, PBE.

Output
Uncorrected formation energy: -487 meV/atom
Energy: -5.827 eV/atom
Space group: P2_1/c

Cell: 9.4080 6.0636 6.1587 Å, 90.00 108.86 90.00°
With the nearest neighbours (Å) after each atom.
Fractional coordinates of all 12 atoms:
In (0.0783, 0.2500, 0.0387)  4 O 2.27
In (0.0783, 0.2500, 0.5387)  4 O 2.27
In (0.9217, 0.7500, 0.4613)  4 O 2.27
In (0.9217, 0.7500, 0.9613)  4 O 2.27
N (0.4821, 0.0881, 0.4908)  1 N 1.11
N (0.4821, 0.4119, 0.9908)  1 N 1.11
N (0.5179, 0.5881, 0.0092)  1 N 1.11
N (0.5179, 0.9119, 0.5092)  1 N 1.11
O (0.9999, 0.0001, 0.2499)  4 In 2.27
O (0.0001, 0.9999, 0.7501)  4 In 2.27
O (0.0001, 0.5001, 0.2501)  4 In 2.27
O (0.9999, 0.4999, 0.7499)  4 In 2.27


Record 3
InN3O: optimized geometry, PBE.

Output
Uncorrected formation energy: 2312 meV/atom
Energy: -4.223 eV/atom
Space group: Pm-3m

Cell: 3.6104 3.6104 3.6104 Å, 90.00 90.00 90.00°
With the nearest neighbours (Å) after each atom.
Fractional coordinates of all 5 atoms:
In (0.0000, 0.0000, 0.0000)  12 N 2.55
N (0.0000, 0.5000, 0.5000)  2 O 1.81
N (0.5000, 0.0000, 0.5000)  2 O 1.81
N (0.5000, 0.5000, 0.0000)  2 O 1.81
O (0.5000, 0.5000, 0.5000)  6 N 1.81


Record 4
In2NO: optimized geometry, PBE.

Output
Uncorrected formation energy: -443 meV/atom
ΔE to the lowest computed polymorph: 0.000 eV/atom
Energy: -5.134 eV/atom
Space group: I-42d

Cell: 6.3146 6.3146 6.3146 Å, 132.09 132.09 70.09°
With the nearest neighbours (Å) after each atom.
Fractional coordinates of all 8 atoms:
In (0.1152, 0.6250, 0.9902)  2 N 2.20, 2 O 2.26
In (0.3750, 0.3652, 0.4902)  2 N 2.20, 2 O 2.26
In (0.6348, 0.1250, 0.0098)  2 N 2.20, 2 O 2.26
In (0.8750, 0.8848, 0.5098)  2 N 2.20, 2 O 2.26
N (0.0000, 0.0000, 0.0000)  4 In 2.20
N (0.7500, 0.2500, 0.5000)  4 In 2.20
O (0.2500, 0.7500, 0.5000)  4 In 2.26
O (0.5000, 0.5000, 0.0000)  4 In 2.26


Record 5
In3NO3: optimized geometry, PBE.

Output
Uncorrected formation energy: -1065 meV/atom
ΔE to the lowest computed polymorph: 0.000 eV/atom
Energy: -5.553 eV/atom
Space group: R-3m

Cell: 6.5954 6.5954 6.5954 Å, 59.27 59.27 59.27°
With the nearest neighbours (Å) after each atom.
Fractional coordinates of all 14 atoms:
In (0.0000, 0.0000, 0.0000)  6 O 2.22
In (0.0000, 0.0000, 0.5000)  2 N 2.17, 4 O 2.30
In (0.0000, 0.5000, 0.0000)  2 N 2.17, 4 O 2.30
In (0.3637, 0.3637, 0.3637)  1 N 2.13, 3 O 2.15
In (0.5000, 0.0000, 0.0000)  2 N 2.17, 4 O 2.30
In (0.6363, 0.6363, 0.6363)  1 N 2.13, 3 O 2.15
N (0.2327, 0.2327, 0.2327)  4 In 2.13-2.17
N (0.7673, 0.7673, 0.7673)  4 In 2.13-2.17
O (0.2345, 0.7606, 0.7606)  4 In 2.15-2.30
O (0.2394, 0.2394, 0.7655)  4 In 2.15-2.30
O (0.2394, 0.7655, 0.2394)  4 In 2.15-2.30
O (0.7606, 0.2345, 0.7606)  4 In 2.15-2.30
O (0.7606, 0.7606, 0.2345)  4 In 2.15-2.30
O (0.7655, 0.2394, 0.2394)  4 In 2.15-2.30


Record 6
In3NO3: optimized geometry, PBE.

Output
Uncorrected formation energy: -1045 meV/atom
ΔE to the lowest computed polymorph: 0.019 eV/atom
Energy: -5.533 eV/atom
Space group: Ima2

Cell: 6.5593 6.5593 6.5593 Å, 119.96 90.30 119.69°
With the nearest neighbours (Å) after each atom.
Fractional coordinates of all 14 atoms:
In (0.0000, 0.0000, 0.0000)  2 N 2.17, 4 O 2.28-2.30
In (0.0000, 0.5000, 0.5000)  2 N 2.17, 4 O 2.28-2.30
In (0.0046, 0.5078, 0.9968)  1 N 2.16, 5 O 2.23-2.28
In (0.4078, 0.2732, 0.6346)  1 N 2.10, 3 O 2.15-2.18
In (0.5109, 0.0078, 0.0032)  1 N 2.16, 5 O 2.23-2.28
In (0.6386, 0.7732, 0.3654)  1 N 2.10, 3 O 2.15-2.18
N (0.7710, 0.0352, 0.2358)  4 In 2.10-2.17
N (0.7995, 0.5352, 0.7642)  4 In 2.10-2.17
O (0.2322, 0.4950, 0.2373)  4 In 2.18-2.30
O (0.2572, 0.5245, 0.7592)  4 In 2.15-2.28
O (0.2572, 0.9980, 0.2328)  4 In 2.15-2.28
O (0.2577, 0.9950, 0.7627)  4 In 2.18-2.30
O (0.7653, 0.0245, 0.7672)  4 In 2.15-2.28
O (0.7653, 0.4980, 0.2408)  4 In 2.15-2.28


Record 7
InN3O: optimized geometry, PBE.

Output
Uncorrected formation energy: 2695 meV/atom
Energy: -3.840 eV/atom
Space group: Pm-3m

Cell: 4.3299 4.3299 4.3299 Å, 90.00 90.00 90.00°
With the nearest neighbours (Å) after each atom.
Fractional coordinates of all 5 atoms:
In (0.0000, 0.0000, 0.0000)  6 N 2.16
N (0.0000, 0.0000, 0.5000)  2 In 2.16
N (0.0000, 0.5000, 0.0000)  2 In 2.16
N (0.5000, 0.0000, 0.0000)  2 In 2.16
O (0.5000, 0.5000, 0.5000)  12 N 3.06


Record 8
InPNO2: optimized geometry, PBE.

Output
Uncorrected formation energy: 1206 meV/atom
Energy: -4.072 eV/atom
Space group: P4/mmm

Cell: 3.9564 3.9564 5.9402 Å, 90.00 90.00 90.00°
With the nearest neighbours (Å) after each atom.
Fractional coordinates of all 5 atoms:
In (0.0000, 0.0000, 0.0000)  4 O 1.98
P (0.0000, 0.0000, 0.5000)  4 N 2.80, 2 In 2.97
N (0.5000, 0.5000, 0.5000)  4 P 2.80
O (0.0000, 0.5000, 0.0000)  2 In 1.98
O (0.5000, 0.0000, 0.0000)  2 In 1.98


Record 9
InP2NO: optimized geometry, PBE.

Output
Uncorrected formation energy: 1747 meV/atom
ΔE to the lowest computed polymorph: 0.898 eV/atom
Energy: -3.621 eV/atom
Space group: P4/mmm

Cell: 5.2573 5.2573 4.0787 Å, 90.00 90.00 90.00°
With the nearest neighbours (Å) after each atom.
Fractional coordinates of all 5 atoms:
In (0.0000, 0.0000, 0.0000)  2 O 2.04
P (0.0000, 0.5000, 0.0000)  2 In 2.63
P (0.5000, 0.0000, 0.0000)  2 In 2.63
N (0.5000, 0.5000, 0.5000)  8 P 3.33, 4 O 3.72
O (0.0000, 0.0000, 0.5000)  2 In 2.04


Record 10
InP2NO: optimized geometry, PBE.

Output
Uncorrected formation energy: 849 meV/atom
ΔE to the lowest computed polymorph: 0.000 eV/atom
Energy: -4.520 eV/atom
Space group: P4/mmm

Cell: 3.8976 3.8976 4.5717 Å, 90.00 90.00 90.00°
With the nearest neighbours (Å) after each atom.
Fractional coordinates of all 5 atoms:
In (0.0000, 0.0000, 0.0000)  4 O 2.76, 8 P 3.00
P (0.0000, 0.5000, 0.5000)  2 N 1.95
P (0.5000, 0.0000, 0.5000)  2 N 1.95
N (0.5000, 0.5000, 0.5000)  4 P 1.95
O (0.5000, 0.5000, 0.0000)  2 N 2.29


Record 11
InPNO2: optimized geometry, PBE.

Output
Uncorrected formation energy: 917 meV/atom
Energy: -4.361 eV/atom
Space group: P4/mmm

Cell: 4.1160 4.1160 4.1652 Å, 90.00 90.00 90.00°
With the nearest neighbours (Å) after each atom.
Fractional coordinates of all 5 atoms:
In (0.0000, 0.0000, 0.0000)  4 O 2.06, 2 N 2.08
P (0.5000, 0.5000, 0.5000)  4 N 2.91, 8 O 2.93
N (0.0000, 0.0000, 0.5000)  2 In 2.08
O (0.0000, 0.5000, 0.0000)  2 In 2.06
O (0.5000, 0.0000, 0.0000)  2 In 2.06


Record 12
InPNO2: optimized geometry, PBE.

Output
Uncorrected formation energy: 794 meV/atom
Energy: -4.484 eV/atom
Space group: P4/mmm

Cell: 3.9594 3.9594 3.7164 Å, 90.00 90.00 90.00°
With the nearest neighbours (Å) after each atom.
Fractional coordinates of all 5 atoms:
In (0.0000, 0.0000, 0.0000)  8 O 2.72, 4 P 2.80
P (0.5000, 0.5000, 0.0000)  2 N 1.86
N (0.5000, 0.5000, 0.5000)  2 P 1.86, 4 O 1.98
O (0.0000, 0.5000, 0.5000)  2 N 1.98
O (0.5000, 0.0000, 0.5000)  2 N 1.98


Record 13
InPN2O: optimized geometry, PBE.

Output
Uncorrected formation energy: 197 meV/atom
Energy: -5.755 eV/atom
Space group: P4/mmm

Cell: 3.6840 3.6840 3.4717 Å, 90.00 90.00 90.00°
With the nearest neighbours (Å) after each atom.
Fractional coordinates of all 5 atoms:
In (0.0000, 0.0000, 0.0000)  8 N 2.53, 4 O 2.60
P (0.5000, 0.5000, 0.5000)  2 O 1.74, 4 N 1.84
N (0.0000, 0.5000, 0.5000)  2 P 1.84
N (0.5000, 0.0000, 0.5000)  2 P 1.84
O (0.5000, 0.5000, 0.0000)  2 P 1.74


Record 14
In2PNO: optimized geometry, PBE.

Output
Uncorrected formation energy: 568 meV/atom
Energy: -4.266 eV/atom
Space group: P4/mmm

Cell: 5.0756 5.0756 3.4229 Å, 90.00 90.00 90.00°
With the nearest neighbours (Å) after each atom.
Fractional coordinates of all 5 atoms:
In (0.0000, 0.5000, 0.0000)  2 P 2.54
In (0.5000, 0.0000, 0.0000)  2 P 2.54
P (0.0000, 0.0000, 0.0000)  2 O 1.71
N (0.5000, 0.5000, 0.5000)  8 In 3.06, 2 N 3.42
O (0.0000, 0.0000, 0.5000)  2 P 1.71